Entry from Alexandria via LeMat-Bulk: crystalline Ca2Mg4Zn at its relaxed geometry (GGA-PBE).

abc: 7.7478 7.7478 7.7478
angles: 101.92 101.92 125.94
Fractional coordinates of all 7 atoms:
Ca 0.2500 0.7500 0.5000
Ca 0.7500 0.2500 0.5000
Mg 0.0000 0.2105 0.2105
Mg 0.0000 0.7895 0.7895
Mg 0.2105 0.0000 0.2105
Mg 0.7895 0.0000 0.7895
Zn 0.5000 0.5000 0.0000

For the energy relative to the elements, the calculation gives 0.755 eV/atom.